1.
# SrHgSe2

SrHgSe2 after structural relaxation (GGA-PBE, Alexandria).

Computed properties:
formation energy from raw total energies: -936 meV/atom
crystal system: tetragonal
energy: -3.174 eV/atom

abc: 4.213 4.213 7.316
angles: 90.00 90.00 90.05
Fractional coordinates of all 4 atoms:
Hg  0.500  0.500  0.750
Sr  0.500  0.500  0.250
Se  0.000  0.000  0.417
Se  0.000  0.000  0.083

---

2.
# SrHgSe2

SrHgSe2 after structural relaxation (GGA-PBE, Alexandria).

Computed properties:
formation energy from raw total energies: -1000 meV/atom
crystal system: tetragonal
energy: -3.238 eV/atom

abc: 4.286 4.286 6.236
angles: 90.00 90.00 90.00
Fractional coordinates of all 4 atoms:
Sr  0.000  0.000  0.384
Se  0.500  0.500  0.389
Se  0.000  0.000  0.887
Hg  0.500  0.500  0.840

---

3.
# SrHgSe2

SrHgSe2 after structural relaxation (GGA-PBE, Alexandria).

Computed properties:
formation energy from raw total energies: -971 meV/atom
crystal system: tetragonal
energy: -3.209 eV/atom

abc: 6.756 6.756 7.912
angles: 64.73 64.73 90.00
Fractional coordinates of all 8 atoms:
Se  0.875  0.911  0.750
Hg  0.750  0.250  0.500
Sr  0.500  0.500  0.000
Se  0.375  0.339  0.750
Se  0.089  0.625  0.250
Sr  0.250  0.750  0.500
Se  0.661  0.125  0.250
Hg  0.000  0.000  0.000

---

4.
# SrHg2Se

SrHg2Se after structural relaxation (GGA-PBE, Alexandria).

Computed properties:
formation energy from raw total energies: -772 meV/atom
crystal system: monoclinic
energy: -2.214 eV/atom

abc: 4.751 4.751 6.998
angles: 68.38 68.38 62.84
Fractional coordinates of all 4 atoms:
Hg  0.013  0.013  0.965
Hg  0.743  0.743  0.762
Se  0.506  0.506  0.485
Sr  0.238  0.238  0.289

---

5.
# Sr2HgSe2

Sr2HgSe2 after structural relaxation (GGA-PBE, Alexandria).

Computed properties:
energy above the lowest structure with this stoichiometry: 0.125 eV/atom
formation energy from raw total energies: -1316 meV/atom
crystal system: tetragonal
energy: -3.443 eV/atom

abc: 5.770 5.770 7.457
angles: 67.24 67.24 90.00
Fractional coordinates of all 5 atoms:
Se  0.323  0.323  0.354
Sr  0.250  0.750  0.500
Sr  0.750  0.250  0.500
Se  0.677  0.677  0.646
Hg  0.000  0.000  0.000

---

6.
# SrHgSe

SrHgSe after structural relaxation (GGA-PBE, Alexandria).

Computed properties:
energy above the lowest structure with this stoichiometry: 0.019 eV/atom
formation energy from raw total energies: -1261 meV/atom
crystal system: tetragonal
energy: -3.084 eV/atom

abc: 4.415 4.415 9.434
angles: 90.00 90.00 90.00
Fractional coordinates of all 6 atoms:
Se  0.000  0.500  0.335
Hg  0.500  0.500  0.000
Sr  0.000  0.500  0.664
Sr  0.500  0.000  0.336
Se  0.500  0.000  0.665
Hg  0.000  0.000  0.000